VASP calculation (PBE) on a relaxed InHgW2 crystal.

```
InHgW2
1.0
-4.478 -4.408 8.482
-5.831 -5.999 6.438
-3.195 -6.805 7.410
W In Hg
2 1 1
direct
0.996 0.996 0.996
0.255 0.255 0.255
0.742 0.742 0.742
0.507 0.507 0.507
```

The value obtained for the total energy is -6.612 eV/atom. Its calculated density is 14.72 g cm⁻³. As for the energy of formation from the pure elements: 2.5 eV/f.u. The calculated volume is 19.26 A^3/atom.